# 1
# PBE Ce3Y2HoSe6, optimized geometry
# Raw formation energy ... -41.5 kcal/mol of atoms
# DOS at the Fermi energy ... 38.37 states/eV/cell
data_Ce3Y2HoSe6
_cell_length_a 7.1166
_cell_length_b 12.3396
_cell_length_c 7.2582
_cell_angle_alpha 90.00
_cell_angle_beta 109.10
_cell_angle_gamma 90.00
_symmetry_space_group_name_H-M 'C 1 2/m 1'
_symmetry_Int_Tables_number 12
loop_
_symmetry_equiv_pos_as_xyz
'x,y,z'
'-x,-y,-z'
'-x,y,-z'
'x,-y,z'
'x+1/2,y+1/2,z'
'-x+1/2,-y+1/2,-z'
'-x+1/2,y+1/2,-z'
'x+1/2,-y+1/2,z'
loop_
_atom_site_label
_atom_site_type_symbol
_atom_site_fract_x
_atom_site_fract_y
_atom_site_fract_z
Ce1 Ce 0.0000 0.0000 0.0000
Ce2 Ce 0.0000 0.3325 0.0000
Y1 Y 0.0000 0.1665 0.5000
Ho1 Ho 0.0000 0.5000 0.5000
Se1 Se 0.2450 0.3342 0.7376
Se2 Se 0.2480 0.0000 0.7386

=====

# 2
# PBE CeYHo2Se4, optimized geometry
# Raw formation energy ... -40.6 kcal/mol of atoms
# DOS at the Fermi energy ... 8.75 states/eV/cell
data_CeYHo2Se4
_cell_length_a 7.1092
_cell_length_b 4.0658
_cell_length_c 7.1324
_cell_angle_alpha 90.00
_cell_angle_beta 109.00
_cell_angle_gamma 90.00
_symmetry_space_group_name_H-M 'P 1 2/m 1'
_symmetry_Int_Tables_number 10
loop_
_symmetry_equiv_pos_as_xyz
'x,y,z'
'-x,-y,-z'
'-x,y,-z'
'x,-y,z'
loop_
_atom_site_label
_atom_site_type_symbol
_atom_site_fract_x
_atom_site_fract_y
_atom_site_fract_z
Ce1 Ce 0.0000 0.0000 0.0000
Y1 Y 0.5000 0.5000 0.0000
Ho1 Ho 0.0000 0.5000 0.5000
Ho2 Ho 0.5000 0.0000 0.5000
Se1 Se 0.2521 0.0000 0.7438
Se2 Se 0.2577 0.5000 0.2598

=====

# 3
# PBE CeY2HoSe4, optimized geometry
# Raw formation energy ... -40.9 kcal/mol of atoms
# DOS at the Fermi energy ... 8.81 states/eV/cell
data_CeY2HoSe4
_cell_length_a 7.1218
_cell_length_b 4.0794
_cell_length_c 7.1447
_cell_angle_alpha 90.00
_cell_angle_beta 109.09
_cell_angle_gamma 90.00
_symmetry_space_group_name_H-M 'P 1 2/m 1'
_symmetry_Int_Tables_number 10
loop_
_symmetry_equiv_pos_as_xyz
'x,y,z'
'-x,-y,-z'
'-x,y,-z'
'x,-y,z'
loop_
_atom_site_label
_atom_site_type_symbol
_atom_site_fract_x
_atom_site_fract_y
_atom_site_fract_z
Ce1 Ce 0.0000 0.0000 0.0000
Y1 Y 0.5000 0.0000 0.5000
Y2 Y 0.5000 0.5000 0.0000
Ho1 Ho 0.0000 0.5000 0.5000
Se1 Se 0.2511 0.0000 0.7446
Se2 Se 0.2559 0.5000 0.2580

=====

# 4
# PBE CeY3Ho4Se8, optimized geometry
# Raw formation energy ... -40.4 kcal/mol of atoms
# DOS at the Fermi energy ... 39.88 states/eV/cell
data_CeY3Ho4Se8
_cell_length_a 8.1677
_cell_length_b 8.1677
_cell_length_c 20.0363
_cell_angle_alpha 90.00
_cell_angle_beta 90.00
_cell_angle_gamma 120.00
_symmetry_space_group_name_H-M 'R -3 m'
_symmetry_Int_Tables_number 166
_symmetry_space_group_name_Hall '-R 3 2"'
loop_
_atom_site_label
_atom_site_type_symbol
_atom_site_fract_x
_atom_site_fract_y
_atom_site_fract_z
Ce1 Ce 0.0000 0.0000 0.0000
Y1 Y 0.0000 0.5000 0.0000
Ho1 Ho 0.0000 0.0000 0.5000
Ho2 Ho 0.0000 0.5000 0.5000
Se1 Se 0.0000 0.0000 0.2490
Se2 Se 0.0038 0.5019 0.2480